A geometry-optimized ZrTaInCu structure, computed with PBE.

The value obtained for the total energy is -25.28 eV per formula unit. As for the energy above the most stable polymorph in this dataset: 0.000 eV/f.u.

The space group is F-43m (No. 216) and the conventional cell measures 6.788, 6.788 and 6.788 Å, with angles of 90.00, 90.00 and 90.00 degrees. The inequivalent atoms are Zr at (0.000, 0.000, 0.000), Ta at (0.250, 0.250, 0.250), In at (0.000, 0.000, 0.500) and Cu at (0.250, 0.250, 0.750).

A geometry-optimized TbInCu3Te4 structure, computed with PBE.

The value obtained for the total energy is -33.24 eV per formula unit. As for the energy above the most stable polymorph in this dataset: 0.693 eV/f.u.

The space group is P-43m (No. 215) and the conventional cell measures 6.544, 6.544 and 6.544 Å, with angles of 90.00, 90.00 and 90.00 degrees. The inequivalent atoms are Tb at (0.000, 0.000, 0.000), In at (0.500, 0.500, 0.500), Cu at (0.000, 0.000, 0.500) and Te at (0.248, 0.248, 0.752).

A geometry-optimized TbInCu3Te4 structure, computed with PBE.

The value obtained for the total energy is -33.93 eV per formula unit. As for the energy above the most stable polymorph in this dataset: 0.000 eV/f.u.

The space group is P2_1/m (No. 11) and the conventional cell measures 6.289, 8.064 and 10.375 Å, with angles of 90.00, 101.88 and 90.00 degrees. The inequivalent atoms are Tb at (0.145, 0.250, 0.265), In at (0.252, 0.250, 0.895), Cu at (0.298, 0.527, 0.499), Cu at (0.326, 0.750, 0.688), Te at (0.014, 0.250, 0.527), Te at (0.255, 0.750, 0.930) and Te at (0.442, 0.531, 0.277).

A geometry-optimized TbY2In3Cu3 structure, computed with PBE.

The value obtained for the total energy is -40.76 eV per formula unit.

The space group is Amm2 (No. 38) and the conventional cell measures 3.865, 13.056 and 7.549 Å, with angles of 90.00, 90.00 and 90.00 degrees. The inequivalent atoms are Tb at (0.000, 0.000, 0.000), Y at (0.000, 0.205, 0.615), In at (0.500, 0.000, 0.666), In at (0.500, 0.128, 0.282), Cu at (0.000, 0.000, 0.410) and Cu at (0.500, 0.167, 0.910).